Record 1
A plane-wave DFT calculation with SCAN was carried out for MgSbF6 at its PBEsol-relaxed geometry.

Computed properties:
The raw formation energy is -270.28 kJ/mol of atoms. Its volume is 14.4 Å³ per atom.

Cell lengths 5.3363, 5.3363, 5.5848 Å; angles 61.46, 61.46, 60.00 degrees
With the nearest neighbours (Å) after each atom.
Fractional coordinates of all 8 atoms:
1 Mg 0.5000 0.5000 0.5000  6 F 2.00
2 F 0.1444 0.7474 0.7473  1 Mg 2.00, 1 Sb 2.04
3 Sb 0.0000 0.0000 0.0000  6 F 2.04
4 F 0.2526 0.6391 0.2527  1 Mg 2.00, 1 Sb 2.04
5 F 0.8556 0.2526 0.2527  1 Mg 2.00, 1 Sb 2.04
6 F 0.3609 0.1444 0.7473  1 Mg 2.00, 1 Sb 2.04
7 F 0.6391 0.8556 0.2527  1 Mg 2.00, 1 Sb 2.04
8 F 0.7474 0.3609 0.7473  1 Mg 2.00, 1 Sb 2.04

Record 2
A plane-wave DFT calculation with SCAN was carried out for La2CrBr at its PBEsol-relaxed geometry.

Computed properties:
The raw formation energy is -52.35 kJ/mol of atoms. Its volume is 25.4 Å³ per atom.

Cell lengths 3.4703, 3.4703, 8.4310 Å; angles 90.00, 90.00, 90.00 degrees
With the nearest neighbours (Å) after each atom.
Fractional coordinates of all 4 atoms:
1 La 0.0000 0.0000 0.2768  4 Cr 3.09, 4 Br 3.39
2 Br 0.5000 0.5000 0.0000  8 La 3.39, 4 Br 3.47
3 Cr 0.5000 0.5000 0.5000  8 La 3.09
4 La 0.0000 0.0000 0.7232  4 Cr 3.09, 4 Br 3.39

Record 3
A plane-wave DFT calculation with SCAN was carried out for Re2AsPtO at its PBEsol-relaxed geometry.

Computed properties:
The raw formation energy is 120.90 kJ/mol of atoms. Its volume is 15.7 Å³ per atom.

Cell lengths 3.5692, 4.6879, 4.6879 Å; angles 90.00, 90.00, 90.00 degrees
With the nearest neighbours (Å) after each atom.
Fractional coordinates of all 5 atoms:
1 O 0.5000 0.0000 0.0000  2 As 1.78
2 As 0.0000 0.0000 0.0000  2 O 1.78
3 Pt 0.5000 0.5000 0.5000  8 Re 2.95
4 Re 0.0000 0.5000 0.0000  2 As 2.34
5 Re 0.0000 0.0000 0.5000  2 As 2.34

Record 4
A plane-wave DFT calculation with SCAN was carried out for Tl3SeS at its PBEsol-relaxed geometry.

Computed properties:
The raw formation energy is 7.92 kJ/mol of atoms. Its volume is 31.7 Å³ per atom.

Cell lengths 5.4142, 5.4142, 5.4142 Å; angles 90.00, 90.00, 90.00 degrees
With the nearest neighbours (Å) after each atom.
Fractional coordinates of all 5 atoms:
1 Se 0.5000 0.5000 0.5000  12 Tl 3.83
2 Tl 0.5000 0.0000 0.0000  2 S 2.71
3 Tl 0.0000 0.5000 0.0000  2 S 2.71
4 S 0.0000 0.0000 0.0000  6 Tl 2.71
5 Tl 0.0000 0.0000 0.5000  2 S 2.71